Entry 1:
Computed, not measured: a relaxed structure of GdDy3Ni4 at the PBE level of DFT.

Lattice parameters (Å, degrees): 5.423 4.220 7.027 90.00 90.18 90.00
Fractional positions:
Gd: 0.000 0.000 0.000
Dy: 0.233 0.000 0.500
Dy: 0.500 0.500 0.140
Dy: 0.733 0.500 0.638
Ni: 0.242 0.500 0.781
Ni: 0.493 0.000 0.856
Ni: 0.738 0.000 0.358
Ni: 0.993 0.500 0.284

Calculated values
Total magnetization = 0.90 μB/atom
DOS at the Fermi energy = 4.84 states/eV per cell
VASP energy = -54.56 eV per formula unit

=====

Entry 2:
Computed, not measured: a relaxed structure of Ba5Gd8Zn4O21 at the PBE level of DFT.

Lattice parameters (Å, degrees): 10.351 10.351 10.351 94.53 94.53 147.37
Fractional positions:
Ba: 0.000 0.000 0.000
Ba: 0.138 0.467 0.605
Ba: 0.467 0.862 0.328
Ba: 0.533 0.138 0.672
Ba: 0.862 0.533 0.395
Gd: 0.167 0.753 0.920
Gd: 0.247 0.167 0.415
Gd: 0.357 0.589 0.946
Gd: 0.411 0.357 0.768
Gd: 0.589 0.643 0.232
Gd: 0.643 0.411 0.054
Gd: 0.753 0.833 0.585
Gd: 0.833 0.247 0.080
Zn: 0.041 0.252 0.293
Zn: 0.252 0.959 0.211
Zn: 0.748 0.041 0.789
Zn: 0.959 0.748 0.707
O: 0.013 0.606 0.111
O: 0.035 0.626 0.661
O: 0.070 0.202 0.775
O: 0.099 0.987 0.594
O: 0.202 0.427 0.132
O: 0.295 0.070 0.868
O: 0.374 0.035 0.408
O: 0.394 0.505 0.406
O: 0.427 0.295 0.225
O: 0.495 0.901 0.889
O: 0.500 0.500 0.000
O: 0.505 0.099 0.111
O: 0.573 0.705 0.775
O: 0.606 0.495 0.594
O: 0.626 0.965 0.592
O: 0.705 0.930 0.132
O: 0.798 0.573 0.868
O: 0.901 0.013 0.406
O: 0.930 0.798 0.225
O: 0.965 0.374 0.339
O: 0.987 0.394 0.889

Calculated values
E_form (uncorrected) = -2.802 eV/atom
Total magnetization = 1.47 μB/atom
DOS at the Fermi energy = 0.00 states/eV per cell
VASP energy = -337.95 eV per formula unit

=====

Entry 3:
Computed, not measured: a relaxed structure of YHfTa at the PBE level of DFT.

Lattice parameters (Å, degrees): 6.249 6.249 7.037 107.38 107.38 33.83
Fractional positions:
Y: 0.000 0.000 0.000
Y: 0.000 0.000 0.500
Hf: 0.302 0.302 0.684
Hf: 0.698 0.698 0.316
Ta: 0.319 0.319 0.123
Ta: 0.681 0.681 0.877

Calculated values
Total magnetization = 0.00 μB/atom
Offset from the most stable computed form = 0.03 eV per formula unit
DOS at the Fermi energy = 7.63 states/eV per cell
VASP energy = -27.62 eV per formula unit

=====

Entry 4:
Computed, not measured: a relaxed structure of PrBe4Pd3O12 at the PBE level of DFT.

Lattice parameters (Å, degrees): 6.332 6.332 6.332 105.40 105.40 105.40
Fractional positions:
Pr: 0.000 0.000 0.000
Be: 0.072 0.500 0.928
Be: 0.500 0.500 0.500
Be: 0.500 0.928 0.072
Be: 0.928 0.072 0.500
Pd: 0.000 0.565 0.435
Pd: 0.435 0.000 0.565
Pd: 0.565 0.435 0.000
O: 0.039 0.646 0.773
O: 0.084 0.916 0.500
O: 0.227 0.354 0.961
O: 0.346 0.654 0.500
O: 0.354 0.961 0.227
O: 0.500 0.084 0.916
O: 0.500 0.346 0.654
O: 0.646 0.773 0.039
O: 0.654 0.500 0.346
O: 0.773 0.039 0.646
O: 0.916 0.500 0.084
O: 0.961 0.227 0.354

Calculated values
E_form (uncorrected) = -1.498 eV/atom
Total magnetization = 0.00 μB/atom
DOS at the Fermi energy = 13.11 states/eV per cell
VASP energy = -124.73 eV per formula unit